# 1
Entry from Alexandria: a relaxed La4Pm10Tl crystal (PBE).

Cell lengths 9.980, 9.980, 10.882 Å; angles 90.00, 90.00, 90.00 degrees
Space group I4/m (No. 87)
Inequivalent atoms, fractional coordinates:
La  0.060  0.327  0.000 (multiplicity 8)
Pm  0.000  0.500  0.250 (multiplicity 4)
Pm  0.114  0.209  0.341 (multiplicity 16)
Tl  0.000  0.000  0.000 (multiplicity 2)

Uncorrected energy: -0.1605 hartree per atom
Energy relative to the elements: 270.8 meV per atom
Density of states at the Fermi level: 49.66 states/eV per cell
Theoretical density: 6.77 Mg/m³

# 2
Entry from Alexandria: a relaxed LaPmTl2 crystal (PBE).

Cell lengths 3.9241, 3.9241, 29.6028 Å; angles 90.00, 90.00, 120.00 degrees
Space group R-3m (No. 166, hexagonal axes)
Inequivalent atoms, fractional coordinates:
La  0.0000  0.0000  0.0000 (multiplicity 3)
Pm  0.0000  0.0000  0.5000 (multiplicity 3)
Tl  0.0000  0.0000  0.2479 (multiplicity 6)

Uncorrected energy: -0.1423 hartree per atom
Energy relative to the elements: -270.6 meV per atom
Density of states at the Fermi level: 8.50 states/eV per cell
Theoretical density: 8.74 Mg/m³

# 3
Entry from Alexandria: a relaxed LaPm8Tl2 crystal (PBE).

Cell lengths 17.322, 6.940, 6.548 Å; angles 90.00, 111.79, 90.00 degrees
Space group C2/m (No. 12)
Inequivalent atoms, fractional coordinates:
La  0.000  0.000  0.000 (multiplicity 2)
Pm  0.072  0.279  0.409 (multiplicity 8)
Pm  0.140  0.500  0.972 (multiplicity 4)
Pm  0.230  0.000  0.375 (multiplicity 4)
Tl  0.158  0.000  0.817 (multiplicity 4)

Uncorrected energy: -0.1577 hartree per atom
Energy relative to the elements: 42.9 meV per atom
Density of states at the Fermi level: 27.75 states/eV per cell
Theoretical density: 7.76 Mg/m³

Which of these has the lowest uncorrected energy? La4Pm10Tl

Look up the uncorrected energy of the third one. -0.1577 hartree per atom

Among the records above, which one has the highest energy relative to the elements? La4Pm10Tl

What did the second record say?
Entry from Alexandria: a relaxed LaPmTl2 crystal (PBE).

Cell lengths 3.9241, 3.9241, 29.6028 Å; angles 90.00, 90.00, 120.00 degrees
Space group R-3m (No. 166, hexagonal axes)
Inequivalent atoms, fractional coordinates:
La  0.0000  0.0000  0.0000 (multiplicity 3)
Pm  0.0000  0.0000  0.5000 (multiplicity 3)
Tl  0.0000  0.0000  0.2479 (multiplicity 6)

Uncorrected energy: -0.1423 hartree per atom
Energy relative to the elements: -270.6 meV per atom
Density of states at the Fermi level: 8.50 states/eV per cell
Theoretical density: 8.74 Mg/m³